The following is a DFT calculation (PBE) of a geometry-optimized Th12Fe6Pb structure.

abc: 8.615 8.615 8.615
angles: 109.47 109.47 109.47
Fractional positions:
1 Th 0.138 0.820 0.317
2 Th 0.180 0.317 0.497
3 Th 0.180 0.683 0.862
4 Th 0.317 0.138 0.820
5 Th 0.317 0.497 0.180
6 Th 0.497 0.180 0.317
7 Th 0.503 0.820 0.683
8 Th 0.683 0.503 0.820
9 Th 0.683 0.862 0.180
10 Th 0.820 0.317 0.138
11 Th 0.820 0.683 0.503
12 Th 0.862 0.180 0.683
13 Fe 0.138 0.638 0.500
14 Fe 0.362 0.500 0.862
15 Fe 0.500 0.138 0.638
16 Fe 0.500 0.862 0.362
17 Fe 0.638 0.500 0.138
18 Fe 0.862 0.362 0.500
19 Pb 0.000 0.000 0.000

---

The following is a DFT calculation (PBE) of a geometry-optimized Th5Fe2Pb2 structure.

abc: 9.254 9.254 7.146
angles: 90.00 90.00 54.42
Fractional positions:
1 Th 0.000 0.000 0.000
2 Th 0.065 0.716 0.642
3 Th 0.216 0.565 0.142
4 Th 0.284 0.935 0.642
5 Th 0.435 0.784 0.142
6 Th 0.500 0.500 0.500
7 Th 0.565 0.216 0.858
8 Th 0.716 0.065 0.358
9 Th 0.784 0.435 0.858
10 Th 0.935 0.284 0.358
11 Fe 0.108 0.892 0.337
12 Fe 0.392 0.608 0.837
13 Fe 0.608 0.392 0.163
14 Fe 0.892 0.108 0.663
15 Pb 0.217 0.217 0.000
16 Pb 0.283 0.283 0.500
17 Pb 0.717 0.717 0.500
18 Pb 0.783 0.783 0.000

---

The following is a DFT calculation (PBE) of a geometry-optimized Th4FePb2 structure.

abc: 9.424 9.424 9.424
angles: 149.46 149.46 43.73
Fractional positions:
1 Th 0.000 0.500 0.500
2 Th 0.167 0.167 0.000
3 Th 0.500 0.000 0.500
4 Th 0.833 0.833 0.000
5 Fe 0.000 0.000 0.000
6 Pb 0.355 0.355 0.000
7 Pb 0.645 0.645 0.000

---

The following is a DFT calculation (PBE) of a geometry-optimized ThFePb structure.

abc: 8.732 8.732 4.303
angles: 90.00 90.00 153.62
Fractional positions:
1 Th 0.087 0.913 0.750
2 Th 0.913 0.087 0.250
3 Fe 0.465 0.535 0.750
4 Fe 0.535 0.465 0.250
5 Pb 0.295 0.705 0.750
6 Pb 0.705 0.295 0.250

---

The following is a DFT calculation (PBE) of a geometry-optimized ThFe4Pb structure.

abc: 5.228 5.228 5.228
angles: 60.00 60.00 60.00
Fractional positions:
1 Th 0.000 0.000 0.000
2 Fe 0.119 0.627 0.627
3 Fe 0.627 0.119 0.627
4 Fe 0.627 0.627 0.119
5 Fe 0.627 0.627 0.627
6 Pb 0.250 0.250 0.250

---

The following is a DFT calculation (PBE) of a geometry-optimized Th4FePb structure.

abc: 6.044 6.567 9.056
angles: 90.00 102.08 90.00
Fractional positions:
1 Th 0.128 0.250 0.495
2 Th 0.235 0.509 0.843
3 Th 0.235 0.991 0.843
4 Th 0.331 0.750 0.333
5 Th 0.669 0.250 0.667
6 Th 0.765 0.009 0.157
7 Th 0.765 0.491 0.157
8 Th 0.872 0.750 0.505
9 Fe 0.337 0.750 0.603
10 Fe 0.663 0.250 0.397
11 Pb 0.266 0.250 0.166
12 Pb 0.734 0.750 0.834

---

The following is a DFT calculation (PBE) of a geometry-optimized Th2FePb structure.

abc: 3.410 3.410 8.757
angles: 90.00 90.00 90.00
Fractional positions:
1 Th 0.000 0.000 0.199
2 Th 0.000 0.000 0.801
3 Fe 0.500 0.500 0.000
4 Pb 0.500 0.500 0.500

---

The following is a DFT calculation (PBE) of a geometry-optimized Th12Fe5Pb structure.

abc: 8.561 8.561 8.561
angles: 113.08 109.76 105.66
Fractional positions:
1 Th 0.012 0.194 0.818
2 Th 0.178 0.310 0.487
3 Th 0.178 0.690 0.868
4 Th 0.326 0.009 0.683
5 Th 0.326 0.643 0.317
6 Th 0.376 0.194 0.182
7 Th 0.624 0.806 0.818
8 Th 0.674 0.357 0.683
9 Th 0.674 0.991 0.317
10 Th 0.822 0.310 0.132
11 Th 0.822 0.690 0.513
12 Th 0.988 0.806 0.182
13 Fe 0.000 0.000 0.000
14 Fe 0.131 0.631 0.500
15 Fe 0.359 0.000 0.359
16 Fe 0.641 0.000 0.641
17 Fe 0.869 0.369 0.500
18 Pb 0.500 0.500 0.000

---

The following is a DFT calculation (PBE) of a geometry-optimized Th6FePb2 structure.

abc: 6.482 8.109 12.098
angles: 90.00 119.44 90.00
Fractional positions:
1 Th 0.100 0.192 0.463
2 Th 0.100 0.308 0.963
3 Th 0.325 0.684 0.466
4 Th 0.325 0.816 0.966
5 Th 0.372 0.023 0.259
6 Th 0.372 0.477 0.759
7 Th 0.628 0.523 0.241
8 Th 0.628 0.977 0.741
9 Th 0.675 0.184 0.034
10 Th 0.675 0.316 0.534
11 Th 0.900 0.692 0.037
12 Th 0.900 0.808 0.537
13 Fe 0.500 0.000 0.500
14 Fe 0.500 0.500 0.000
15 Pb 0.151 0.103 0.747
16 Pb 0.151 0.397 0.247
17 Pb 0.849 0.603 0.753
18 Pb 0.849 0.897 0.253

---

The following is a DFT calculation (PBE) of a geometry-optimized Th3FePb structure.

abc: 5.247 5.247 5.247
angles: 90.00 90.00 90.00
Fractional positions:
1 Th 0.000 0.000 0.500
2 Th 0.000 0.500 0.000
3 Th 0.500 0.000 0.000
4 Fe 0.000 0.000 0.000
5 Pb 0.500 0.500 0.500

---

The following is a DFT calculation (PBE) of a geometry-optimized Th6Fe2Pb structure.

abc: 8.621 8.621 8.621
angles: 114.37 110.16 104.04
Fractional positions:
1 Th 0.026 0.237 0.789
2 Th 0.181 0.301 0.482
3 Th 0.181 0.699 0.880
4 Th 0.330 0.018 0.688
5 Th 0.330 0.642 0.312
6 Th 0.449 0.237 0.211
7 Th 0.551 0.763 0.789
8 Th 0.670 0.358 0.688
9 Th 0.670 0.982 0.312
10 Th 0.819 0.301 0.120
11 Th 0.819 0.699 0.518
12 Th 0.974 0.763 0.211
13 Fe 0.130 0.630 0.500
14 Fe 0.350 0.000 0.350
15 Fe 0.650 0.000 0.650
16 Fe 0.870 0.370 0.500
17 Pb 0.000 0.000 0.000
18 Pb 0.500 0.500 0.000

---

The following is a DFT calculation (PBE) of a geometry-optimized Ti3FePb structure.

abc: 4.544 4.544 4.544
angles: 90.00 90.00 90.00
Fractional positions:
1 Ti 0.000 0.000 0.500
2 Ti 0.000 0.500 0.000
3 Ti 0.500 0.000 0.000
4 Fe 0.000 0.000 0.000
5 Pb 0.500 0.500 0.500

---

The following is a DFT calculation (PBE) of a geometry-optimized Ti6FePb3 structure.

abc: 6.046 6.046 7.289
angles: 108.79 108.79 59.67
Fractional positions:
1 Ti 0.128 0.660 0.606
2 Ti 0.296 0.296 0.220
3 Ti 0.340 0.872 0.394
4 Ti 0.660 0.128 0.606
5 Ti 0.704 0.704 0.780
6 Ti 0.872 0.340 0.394
7 Fe 0.500 0.500 0.500
8 Pb 0.000 0.000 0.000
9 Pb 0.217 0.217 0.781
10 Pb 0.783 0.783 0.219

---

The following is a DFT calculation (PBE) of a geometry-optimized Ti2FePb structure.

abc: 3.015 3.015 7.681
angles: 90.00 90.00 90.00
Fractional positions:
1 Ti 0.000 0.000 0.190
2 Ti 0.000 0.000 0.810
3 Fe 0.500 0.500 0.000
4 Pb 0.500 0.500 0.500

---

The following is a DFT calculation (PBE) of a geometry-optimized Ti2FePb structure.

abc: 5.804 5.804 5.804
angles: 103.33 103.33 122.60
Fractional positions:
1 Ti 0.057 0.125 0.432
2 Ti 0.375 0.943 0.068
3 Ti 0.693 0.625 0.568
4 Ti 0.875 0.307 0.932
5 Fe 0.000 0.000 0.000
6 Fe 0.750 0.250 0.500
7 Pb 0.250 0.750 0.500
8 Pb 0.500 0.500 0.000

---

The following is a DFT calculation (PBE) of a geometry-optimized Ti2FePb2 structure.

abc: 7.072 7.072 7.072
angles: 145.34 145.34 49.83
Fractional positions:
1 Ti 0.083 0.083 0.000
2 Ti 0.917 0.917 0.000
3 Fe 0.500 0.500 0.000
4 Pb 0.250 0.750 0.500
5 Pb 0.750 0.250 0.500

---

The following is a DFT calculation (PBE) of a geometry-optimized Ti2FePb2 structure.

abc: 6.425 6.425 4.850
angles: 90.00 90.00 90.00
Fractional positions:
1 Ti 0.162 0.338 0.000
2 Ti 0.338 0.838 0.000
3 Ti 0.662 0.162 0.000
4 Ti 0.838 0.662 0.000
5 Fe 0.000 0.000 0.000
6 Fe 0.500 0.500 0.000
7 Pb 0.172 0.672 0.500
8 Pb 0.328 0.172 0.500
9 Pb 0.672 0.828 0.500
10 Pb 0.828 0.328 0.500

---

The following is a DFT calculation (PBE) of a geometry-optimized TiFePb3 structure.

abc: 5.119 5.119 5.119
angles: 90.00 90.00 90.00
Fractional positions:
1 Ti 0.000 0.000 0.000
2 Fe 0.500 0.500 0.500
3 Pb 0.000 0.500 0.500
4 Pb 0.500 0.000 0.500
5 Pb 0.500 0.500 0.000

---

The following is a DFT calculation (PBE) of a geometry-optimized TiFePb3 structure.

abc: 5.389 5.389 5.389
angles: 90.00 90.00 90.00
Fractional positions:
1 Ti 0.000 0.000 0.000
2 Fe 0.500 0.500 0.500
3 Pb 0.000 0.000 0.500
4 Pb 0.000 0.500 0.000
5 Pb 0.500 0.000 0.000

---

The following is a DFT calculation (PBE) of a geometry-optimized YTiFePb2 structure.

abc: 5.130 5.130 4.516
angles: 90.00 90.00 90.00
Fractional positions:
1 Y 0.000 0.000 0.000
2 Ti 0.500 0.500 0.000
3 Fe 0.500 0.500 0.500
4 Pb 0.000 0.500 0.500
5 Pb 0.500 0.000 0.500

---

The following is a DFT calculation (PBE) of a geometry-optimized Ti2ZnFePb structure.

abc: 5.107 5.107 4.717
angles: 90.00 90.00 90.00
Fractional positions:
1 Ti 0.000 0.500 0.000
2 Ti 0.500 0.000 0.000
3 Zn 0.000 0.000 0.500
4 Fe 0.500 0.500 0.500
5 Pb 0.500 0.500 0.000

---

The following is a DFT calculation (PBE) of a geometry-optimized Tl2FePb structure.

abc: 7.572 7.572 7.572
angles: 156.01 143.80 43.90
Fractional positions:
1 Tl 0.000 0.000 0.000
2 Tl 0.677 0.177 0.500
3 Fe 0.181 0.681 0.500
4 Pb 0.355 0.355 0.000

---

The following is a DFT calculation (PBE) of a geometry-optimized TlFePb2 structure.

abc: 8.519 8.519 8.519
angles: 137.05 137.05 62.37
Fractional positions:
1 Tl 0.000 0.000 0.000
2 Tl 0.750 0.250 0.500
3 Fe 0.250 0.750 0.500
4 Fe 0.500 0.500 0.000
5 Pb 0.272 0.625 0.147
6 Pb 0.375 0.522 0.647
7 Pb 0.478 0.125 0.853
8 Pb 0.875 0.728 0.353

---

| no. | total magnetization (μB/atom) | calculated volume (Å³/cell) | energy (eV per atom) |
| --- | --- | --- | --- |
| 1 | 0.000 | 492 | -7.620 |
| 2 | 0.000 | 498 | -6.986 |
| 3 | 0.000 | 216 | -6.731 |
| 4 | 0.425 | 146 | -6.646 |
| 5 | 1.449 | 101 | -7.388 |
| 6 | 0.000 | 351 | -6.977 |
| 7 | 0.165 | 102 | -6.863 |
| 8 | 0.000 | 481 | -7.562 |
| 9 | 0.000 | 554 | -6.836 |
| 10 | 0.000 | 144 | -7.094 |
| 11 | 0.000 | 489 | -7.289 |
| 12 | 0.001 | 94 | -7.059 |
| 13 | 0.000 | 213 | -6.538 |
| 14 | 0.059 | 70 | -7.016 |
| 15 | 0.000 | 145 | -6.722 |
| 16 | 0.495 | 114 | -5.514 |
| 17 | 0.000 | 200 | -6.023 |
| 18 | 0.370 | 134 | -4.712 |
| 19 | 0.794 | 157 | -4.612 |
| 20 | 0.233 | 119 | -5.796 |
| 21 | 0.093 | 123 | -4.314 |
| 22 | 0.584 | 104 | -3.846 |
| 23 | 0.000 | 284 | -3.834 |